Entry from the Alexandria database: Ba2LiSb4Rh3 after structural relaxation (PBE).

Cell and atoms, written as POSCAR:
```
Ba2LiSb4Rh3
1.0
-1.133 -1.707 -4.276
3.013 -3.605 0.641
-7.887 -5.807 4.409
Sb Rh Ba Li
4 3 2 1
Direct
0.000 0.000 0.000
0.500 0.500 0.000
0.000 0.500 0.371
0.500 0.000 0.629
0.000 0.000 0.500
0.000 0.500 0.118
0.500 0.000 0.882
0.500 0.000 0.254
0.000 0.500 0.746
0.500 0.500 0.500
```

Calculated values
V ... 241.5 Å³ per cell
Crystal system ... tetragonal
Raw formation energy ... -0.71 eV per atom

=====

Entry from the Alexandria database: Ba3Li2Sb4Rh2 after structural relaxation (PBE).

Cell and atoms, written as POSCAR:
```
Ba3Li2Sb4Rh2
1.0
-3.114 -2.645 -2.221
4.509 -1.131 -0.107
-2.059 -9.557 14.269
Rh Ba Sb Li
2 3 4 2
Direct
0.667 0.333 0.439
0.333 0.667 0.561
0.000 0.000 0.279
0.000 0.000 0.000
0.000 0.000 0.721
0.667 0.333 0.139
0.333 0.667 0.861
0.333 0.667 0.414
0.667 0.333 0.586
0.333 0.667 0.139
0.667 0.333 0.861
```

Calculated values
V ... 323.9 Å³ per cell
Crystal system ... trigonal
Raw formation energy ... -0.72 eV per atom

=====

Question: Number 1 is which compound?
Answer: Ba2LiSb4Rh3

=====

Question: What is the raw formation energy in the second record?
Answer: -0.72 eV per atom

=====

Question: What is the formula in the first record?
Answer: Ba2LiSb4Rh3